Entry 1:
Entry from the Alexandria database: Fe2HgOs after structural relaxation (GGA-PBEsol).

Computed properties:
* ΔE_f: 40.4 kJ/mol of atoms

abc: 2.7340 2.7340 8.8347
angles: 81.10 81.10 60.00
Last column: nearest neighbours and their distance in Å.
Atoms (fractional coordinates):
Fe (0.7440, 0.7440, 0.7679)  3 Os 2.56, 6 Fe 2.73, 3 Hg 2.81
Os (0.0000, 0.0000, 0.0000)  6 Fe 2.56, 6 Os 2.73
Fe (0.2560, 0.2560, 0.2321)  3 Os 2.56, 6 Fe 2.73, 3 Hg 2.81
Hg (0.5000, 0.5000, 0.5000)  6 Hg 2.73, 6 Fe 2.81

Entry 2:
Entry from the Alexandria database: Fe2HgOs after structural relaxation (GGA-PBEsol).

Computed properties:
* ΔE_f: 37.3 kJ/mol of atoms

abc: 2.7415 3.6305 5.5739
angles: 90.00 90.00 90.00
Last column: nearest neighbours and their distance in Å.
Atoms (fractional coordinates):
Os (0.5000, 0.5000, 0.5000)  8 Fe 2.55, 2 Os 2.74, 2 Hg 2.79
Fe (0.0000, 0.0000, 0.7070)  1 Fe 2.31, 4 Os 2.55
Hg (0.5000, 0.5000, 0.0000)  2 Hg 2.74, 2 Os 2.79, 8 Fe 2.80
Fe (0.0000, 0.0000, 0.2930)  1 Fe 2.31, 4 Os 2.55

Entry 3:
Entry from the Alexandria database: Fe2HgOs after structural relaxation (GGA-PBEsol).

Computed properties:
* ΔE_f: 46.0 kJ/mol of atoms

abc: 2.6973 4.6484 4.6484
angles: 107.45 90.00 90.00
Last column: nearest neighbours and their distance in Å.
Atoms (fractional coordinates):
Fe (0.0000, 0.5000, 0.0000)  4 Os 2.69, 4 Hg 2.69, 4 Fe 2.70-2.75
Hg (0.5000, 0.0000, 0.0000)  8 Fe 2.69, 2 Hg 2.70, 2 Os 2.75
Os (0.5000, 0.5000, 0.5000)  8 Fe 2.69, 2 Os 2.70, 2 Hg 2.75
Fe (0.0000, 0.0000, 0.5000)  4 Hg 2.69, 4 Os 2.69, 4 Fe 2.70-2.75

Entry 4:
Entry from the Alexandria database: FeHg2Os after structural relaxation (GGA-PBEsol).

Computed properties:
* offset from the most stable computed form: 55 kJ/mol of formula units
* ΔE_f: 81.4 kJ/mol of atoms

abc: 4.5316 4.5316 4.5316
angles: 60.00 60.00 60.00
Last column: nearest neighbours and their distance in Å.
Atoms (fractional coordinates):
Hg (0.2500, 0.2500, 0.2500)  4 Hg 2.78, 4 Fe 2.78
Hg (0.0000, 0.0000, 0.0000)  4 Os 2.78, 4 Hg 2.78
Os (0.7500, 0.7500, 0.7500)  4 Fe 2.78, 4 Hg 2.78
Fe (0.5000, 0.5000, 0.5000)  4 Hg 2.78, 4 Os 2.78

Entry 5:
Entry from the Alexandria database: FeHg2Os after structural relaxation (GGA-PBEsol).

Computed properties:
* offset from the most stable computed form: 21 kJ/mol of formula units
* ΔE_f: 72.8 kJ/mol of atoms

abc: 3.9871 3.9871 4.9903
angles: 113.55 113.55 90.00
Last column: nearest neighbours and their distance in Å.
Atoms (fractional coordinates):
Fe (0.0000, 0.0000, 0.0000)  4 Os 2.82, 8 Hg 2.87
Os (0.5000, 0.5000, 0.0000)  4 Fe 2.82, 8 Hg 2.87
Hg (0.2500, 0.7500, 0.5000)  4 Hg 2.82, 4 Fe 2.87, 4 Os 2.87
Hg (0.7500, 0.2500, 0.5000)  4 Hg 2.82, 4 Fe 2.87, 4 Os 2.87

Entry 6:
Entry from the Alexandria database: FeHg2Os after structural relaxation (GGA-PBEsol).

Computed properties:
* offset from the most stable computed form: 45 kJ/mol of formula units
* ΔE_f: 78.8 kJ/mol of atoms

abc: 4.5121 4.5121 4.5121
angles: 60.00 60.00 60.00
Last column: nearest neighbours and their distance in Å.
Atoms (fractional coordinates):
Hg (0.2500, 0.2500, 0.2500)  4 Fe 2.76, 4 Os 2.76
Os (0.5000, 0.5000, 0.5000)  8 Hg 2.76
Hg (0.7500, 0.7500, 0.7500)  4 Os 2.76, 4 Fe 2.76
Fe (0.0000, 0.0000, 0.0000)  8 Hg 2.76

Entry 7:
Entry from the Alexandria database: FeHgP2 after structural relaxation (GGA-PBEsol).

Computed properties:
* ΔE_f: -4.8 kJ/mol of atoms

abc: 2.7795 2.7795 8.2979
angles: 90.00 90.00 90.00
Last column: nearest neighbours and their distance in Å.
Atoms (fractional coordinates):
P (0.0000, 0.0000, 0.1591)  4 Fe 2.37, 1 P 2.64
P (0.0000, 0.0000, 0.8409)  4 Fe 2.37, 1 P 2.64
Fe (0.5000, 0.5000, 0.0000)  8 P 2.37
Hg (0.5000, 0.5000, 0.5000)  4 Hg 2.78

Entry 8:
Entry from the Alexandria database: FeHg2P after structural relaxation (GGA-PBEsol).

Computed properties:
* ΔE_f: 55.7 kJ/mol of atoms

abc: 3.9805 3.9805 4.4034
angles: 90.00 90.00 90.00
Last column: nearest neighbours and their distance in Å.
Atoms (fractional coordinates):
Hg (0.5000, 0.0000, 0.0000)  4 Hg 2.81, 4 Fe 2.97, 4 P 2.97
P (0.5000, 0.5000, 0.5000)  4 Fe 2.81, 8 Hg 2.97
Hg (0.0000, 0.5000, 0.0000)  4 Hg 2.81, 4 P 2.97, 4 Fe 2.97
Fe (0.0000, 0.0000, 0.5000)  4 P 2.81, 8 Hg 2.97

Entry 9:
Entry from the Alexandria database: FeHg2P after structural relaxation (GGA-PBEsol).

Computed properties:
* ΔE_f: 6.2 kJ/mol of atoms

abc: 2.7215 3.5864 7.3897
angles: 104.04 100.61 90.00
Last column: nearest neighbours and their distance in Å.
Atoms (fractional coordinates):
Fe (0.5000, 0.0000, 0.0000)  4 P 2.25
P (0.0000, 0.5000, 0.0000)  4 Fe 2.25
Hg (0.1761, 0.1761, 0.3522)  2 Hg 2.72, 2 Fe 2.83
Hg (0.8239, 0.8239, 0.6478)  2 Hg 2.72, 2 Fe 2.83

Entry 10:
Entry from the Alexandria database: FeHgP2 after structural relaxation (GGA-PBEsol).

Computed properties:
* ΔE_f: 60.4 kJ/mol of atoms

abc: 3.4294 4.2239 4.2239
angles: 90.00 90.00 90.00
Last column: nearest neighbours and their distance in Å.
Atoms (fractional coordinates):
Fe (0.5000, 0.5000, 0.5000)  8 P 2.72, 4 Hg 2.99
P (0.0000, 0.0000, 0.5000)  4 Hg 2.72, 4 Fe 2.72, 4 P 2.99
P (0.0000, 0.5000, 0.0000)  4 Hg 2.72, 4 Fe 2.72, 4 P 2.99
Hg (0.5000, 0.0000, 0.0000)  8 P 2.72, 4 Fe 2.99

Entry 11:
Entry from the Alexandria database: FeHgP2 after structural relaxation (GGA-PBEsol).

Computed properties:
* ΔE_f: -12.4 kJ/mol of atoms

abc: 2.7836 3.5711 7.4427
angles: 81.60 79.22 67.06
Last column: nearest neighbours and their distance in Å.
Atoms (fractional coordinates):
Fe (0.0000, 0.0000, 0.0000)  6 P 2.23-2.25
P (0.6411, 0.5641, 0.1537)  3 Fe 2.23-2.25
Hg (0.5000, 0.5000, 0.5000)  2 P 2.52, 2 Hg 2.78
P (0.3589, 0.4359, 0.8463)  3 Fe 2.23-2.25

Entry 12:
Entry from the Alexandria database: FeHgP after structural relaxation (GGA-PBEsol).

Computed properties:
* offset from the most stable computed form: 0 kJ/mol of formula units
* ΔE_f: 37.1 kJ/mol of atoms

abc: 4.1152 4.1152 4.1152
angles: 60.00 60.00 60.00
Last column: nearest neighbours and their distance in Å.
Atoms (fractional coordinates):
Hg (0.0000, 0.0000, 0.0000)  4 Fe 2.52
Fe (0.2500, 0.2500, 0.2500)  4 P 2.52, 4 Hg 2.52
P (0.5000, 0.5000, 0.5000)  4 Fe 2.52

Entry 13:
Entry from the Alexandria database: Fe2HgPPb after structural relaxation (GGA-PBEsol).

Computed properties:
* ΔE_f: 156.0 kJ/mol of atoms

abc: 4.9394 4.9394 5.1232
angles: 90.00 90.00 90.00
Last column: nearest neighbours and their distance in Å.
Atoms (fractional coordinates):
Fe (0.5000, 0.0000, 0.0000)  2 Pb 2.47
Pb (0.0000, 0.0000, 0.0000)  4 Fe 2.47, 2 P 2.56
P (0.0000, 0.0000, 0.5000)  2 Pb 2.56
Fe (0.0000, 0.5000, 0.0000)  2 Pb 2.47
Hg (0.5000, 0.5000, 0.5000)  4 P 3.49, 8 Fe 3.56

Entry 14:
Entry from the Alexandria database: Fe2HgPb after structural relaxation (GGA-PBEsol).

Computed properties:
* ΔE_f: 58.2 kJ/mol of atoms

abc: 3.2392 4.5094 4.5094
angles: 90.00 90.00 90.00
Last column: nearest neighbours and their distance in Å.
Atoms (fractional coordinates):
Fe (0.0000, 0.0000, 0.5000)  4 Pb 2.78, 4 Hg 2.78
Pb (0.5000, 0.0000, 0.0000)  8 Fe 2.78
Hg (0.5000, 0.5000, 0.5000)  8 Fe 2.78
Fe (0.0000, 0.5000, 0.0000)  4 Hg 2.78, 4 Pb 2.78

Entry 15:
Entry from the Alexandria database: FeHgPb after structural relaxation (GGA-PBEsol).

Computed properties:
* ΔE_f: 46.5 kJ/mol of atoms

abc: 4.5032 4.5032 4.5032
angles: 60.00 60.00 60.00
Last column: nearest neighbours and their distance in Å.
Atoms (fractional coordinates):
Fe (0.2500, 0.2500, 0.2500)  4 Pb 2.76, 4 Hg 2.76
Pb (0.5000, 0.5000, 0.5000)  4 Fe 2.76
Hg (0.0000, 0.0000, 0.0000)  4 Fe 2.76

Entry 16:
Entry from the Alexandria database: FeHgPt2 after structural relaxation (GGA-PBEsol).

Computed properties:
* ΔE_f: -0.4 kJ/mol of atoms

abc: 3.9832 3.9832 4.7905
angles: 114.57 114.57 90.00
Last column: nearest neighbours and their distance in Å.
Atoms (fractional coordinates):
Pt (0.7500, 0.2500, 0.5000)  4 Hg 2.78, 4 Fe 2.78, 4 Pt 2.82
Fe (0.5000, 0.5000, 0.0000)  8 Pt 2.78, 4 Hg 2.82
Pt (0.2500, 0.7500, 0.5000)  4 Hg 2.78, 4 Fe 2.78, 4 Pt 2.82
Hg (0.0000, 0.0000, 0.0000)  8 Pt 2.78, 4 Fe 2.82

Entry 17:
Entry from the Alexandria database: FeHgPt2 after structural relaxation (GGA-PBEsol).

Computed properties:
* ΔE_f: 7.0 kJ/mol of atoms

abc: 3.9036 3.9036 4.8966
angles: 113.49 113.49 90.00
Last column: nearest neighbours and their distance in Å.
Atoms (fractional coordinates):
Fe (0.5000, 0.5000, 0.0000)  8 Pt 2.76-2.81, 4 Hg 2.81
Hg (0.2500, 0.7500, 0.5000)  8 Pt 2.76-2.81, 4 Fe 2.81
Pt (0.0000, 0.0000, 0.0000)  4 Fe 2.76, 4 Hg 2.81, 4 Pt 2.81
Pt (0.7500, 0.2500, 0.5000)  4 Hg 2.76, 4 Fe 2.81, 4 Pt 2.81

Entry 18:
Entry from the Alexandria database: FeHg3Pt after structural relaxation (GGA-PBEsol).

Computed properties:
* ΔE_f: 98.1 kJ/mol of atoms

abc: 4.8359 4.8359 4.8359
angles: 90.00 90.00 90.00
Last column: nearest neighbours and their distance in Å.
Atoms (fractional coordinates):
Hg (0.0000, 0.5000, 0.0000)  2 Fe 2.42
Pt (0.5000, 0.5000, 0.5000)  12 Hg 3.42
Hg (0.5000, 0.0000, 0.0000)  2 Fe 2.42
Fe (0.0000, 0.0000, 0.0000)  6 Hg 2.42
Hg (0.0000, 0.0000, 0.5000)  2 Fe 2.42

Entry 19:
Entry from the Alexandria database: FeHgPt2 after structural relaxation (GGA-PBEsol).

Computed properties:
* ΔE_f: 13.8 kJ/mol of atoms

abc: 4.4438 4.4438 4.4438
angles: 60.00 60.00 60.00
Last column: nearest neighbours and their distance in Å.
Atoms (fractional coordinates):
Fe (0.5000, 0.5000, 0.5000)  4 Hg 2.72, 4 Pt 2.72
Pt (0.0000, 0.0000, 0.0000)  4 Pt 2.72, 4 Hg 2.72
Pt (0.2500, 0.2500, 0.2500)  4 Fe 2.72, 4 Pt 2.72
Hg (0.7500, 0.7500, 0.7500)  4 Pt 2.72, 4 Fe 2.72

Entry 20:
Entry from the Alexandria database: FeTcHgPt2 after structural relaxation (GGA-PBEsol).

Computed properties:
* ΔE_f: 134.1 kJ/mol of atoms

abc: 4.5288 4.5288 4.7001
angles: 90.00 90.00 90.00
Last column: nearest neighbours and their distance in Å.
Atoms (fractional coordinates):
Fe (0.0000, 0.0000, 0.0000)  4 Pt 2.26, 2 Hg 2.35
Tc (0.5000, 0.5000, 0.5000)  4 Hg 3.20, 8 Pt 3.26
Hg (0.0000, 0.0000, 0.5000)  2 Fe 2.35
Pt (0.5000, 0.0000, 0.0000)  2 Fe 2.26
Pt (0.0000, 0.5000, 0.0000)  2 Fe 2.26

Number 1: E -7.258 eV per atom, V 14.1 A^3/atom. Number 2: E -7.290 eV per atom, V 13.9 A^3/atom. Number 3: E -7.201 eV per atom, V 13.9 A^3/atom. Number 4: E -4.735 eV per atom, V 16.5 A^3/atom. Number 5: E -4.824 eV per atom, V 16.4 A^3/atom. Number 6: E -4.762 eV per atom, V 16.2 A^3/atom. Number 7: E -5.328 eV per atom, V 16.0 A^3/atom. Number 8: E -3.395 eV per atom, V 17.4 A^3/atom. Number 9: E -3.908 eV per atom, V 17.2 A^3/atom. Number 10: E -4.652 eV per atom, V 15.3 A^3/atom. Number 11: E -5.407 eV per atom, V 16.7 A^3/atom. Number 12: E -4.723 eV per atom, V 16.4 A^3/atom. Number 13: E -4.040 eV per atom, V 25.0 A^3/atom. Number 14: E -5.020 eV per atom, V 16.5 A^3/atom. Number 15: E -4.027 eV per atom, V 21.5 A^3/atom. Number 16: E -5.869 eV per atom, V 15.4 A^3/atom. Number 17: E -5.792 eV per atom, V 15.4 A^3/atom. Number 18: E -2.508 eV per atom, V 22.6 A^3/atom. Number 19: E -5.722 eV per atom, V 15.5 A^3/atom. Number 20: E -5.555 eV per atom, V 19.3 A^3/atom.